Entry from the Alexandria database: a geometry-optimized LiCd2Ga structure (PBE).

Results
Final energy   -1.8286 eV per atom
Symmetry   P4/mmm

```
LiCd2Ga
1.0
3.583 0.000 0.000
0.000 3.583 0.000
0.000 0.000 6.084
Li Cd Ga
1 2 1
Direct
0.000 0.000 0.000
0.500 0.500 0.243
0.500 0.500 0.757
0.000 0.000 0.500
```